First-principles (PBE) data for a geometry-optimized HfCrAs structure, as listed in Alexandria. Values from VASP.

Geometry as Quantum ESPRESSO input:
```
&SYSTEM
  ibrav = 0, nat = 12, ntyp = 3
/
ATOMIC_SPECIES
Hf 178.49 Hf.upf
Cr 52.00 Cr.upf
As 74.92 As.upf
ATOMIC_POSITIONS crystal
Hf 0.737 0.500 0.124
Hf 0.263 0.000 0.376
Hf 0.263 0.500 0.876
Hf 0.737 0.000 0.624
Cr 0.776 0.500 0.470
Cr 0.224 0.000 0.030
Cr 0.224 0.500 0.530
Cr 0.776 0.000 0.970
As 0.754 0.500 0.311
As 0.246 0.500 0.689
As 0.754 0.000 0.811
As 0.246 0.000 0.189
CELL_PARAMETERS angstrom
-0.786 1.648 -3.428
-3.065 0.923 1.147
6.213 13.266 5.922
```

Summary:
**Theoretical density**: 9.738 g/cm3
**Density of states at the Fermi level**: 8.58 states/eV per cell
**Space group**: C2/m, No. 12
**ΔE_f**: -0.259 eV per atom